[1]
A plane-wave DFT calculation with PBE was carried out for an optimized crystal structure of Cs2Y2Bi2Se.

Output
ΔE_f (raw): -0.952 eV per atom
calculated density: 5.298 Mg/m³
energy: -4.649 eV per atom

Cell lengths 5.4512, 5.4512, 10.6425 Å; angles 104.84, 104.84, 90.00 degrees
Last column: nearest neighbours and their distance in Å.
Fractional coordinates of all 7 atoms:
Cs 0.1823 0.1823 0.3645  1 Se 3.62
Cs 0.8177 0.8177 0.6355  1 Se 3.62
Y 0.0000 0.5000 0.0000  2 Se 2.73
Y 0.5000 0.0000 0.0000  2 Se 2.73
Bi 0.3970 0.3970 0.7940  4 Y 3.41
Bi 0.6030 0.6030 0.2060  4 Y 3.41
Se 0.0000 0.0000 0.0000  4 Y 2.73

[2]
A plane-wave DFT calculation with PBE was carried out for an optimized crystal structure of PrY2Sn2.

Output
formation enthalpy at 0 K: -45.1 kJ per mole of atoms
calculated density: 5.992 Mg/m³
energy: -5.610 eV per atom

Cell lengths 4.1100, 5.7024, 13.2498 Å; angles 96.95, 90.00, 90.00 degrees
Last column: nearest neighbours and their distance in Å.
Fractional coordinates of all 10 atoms:
Pr 0.2500 0.6983 0.2469  4 Sn 3.34-3.68, 2 Y 3.59
Pr 0.7500 0.3017 0.7531  4 Sn 3.34-3.68, 2 Y 3.59
Y 0.2500 0.8316 0.8911  5 Sn 2.89-3.14
Y 0.7500 0.1684 0.1089  5 Sn 2.89-3.14
Y 0.2500 0.2551 0.5292  4 Sn 3.22-3.35, 2 Y 3.57, 2 Pr 3.59
Y 0.7500 0.7449 0.4708  4 Sn 3.22-3.35, 2 Y 3.57, 2 Pr 3.59
Sn 0.2500 0.7866 0.6594  5 Y 3.05-3.35
Sn 0.7500 0.2134 0.3406  5 Y 3.05-3.35
Sn 0.2500 0.3359 0.9534  4 Y 2.89-3.14, 2 Sn 2.95
Sn 0.7500 0.6641 0.0466  4 Y 2.89-3.14, 2 Sn 2.95

[3]
A plane-wave DFT calculation with PBE was carried out for an optimized crystal structure of BaAgOs2.

Output
formation enthalpy at 0 K: 126.2 kJ per mole of atoms
calculated density: 11.552 Mg/m³
energy: -5.500 eV per atom

Cell lengths 3.5228, 3.5228, 7.2468 Å; angles 90.00, 90.00, 90.00 degrees
Last column: nearest neighbours and their distance in Å.
Fractional coordinates of all 4 atoms:
Os 0.0000 0.0000 0.0858  1 Os 2.38
Os 0.0000 0.0000 0.4142  1 Os 2.38
Ba 0.5000 0.5000 0.7500  8 Os 3.48, 4 Ba 3.52, 2 Ag 3.62
Ag 0.5000 0.5000 0.2500  8 Os 2.76

Please write out number 1 again, unchanged.
A plane-wave DFT calculation with PBE was carried out for an optimized crystal structure of Cs2Y2Bi2Se.

Output
ΔE_f (raw): -0.952 eV per atom
calculated density: 5.298 Mg/m³
energy: -4.649 eV per atom

Cell lengths 5.4512, 5.4512, 10.6425 Å; angles 104.84, 104.84, 90.00 degrees
Last column: nearest neighbours and their distance in Å.
Fractional coordinates of all 7 atoms:
Cs 0.1823 0.1823 0.3645  1 Se 3.62
Cs 0.8177 0.8177 0.6355  1 Se 3.62
Y 0.0000 0.5000 0.0000  2 Se 2.73
Y 0.5000 0.0000 0.0000  2 Se 2.73
Bi 0.3970 0.3970 0.7940  4 Y 3.41
Bi 0.6030 0.6030 0.2060  4 Y 3.41
Se 0.0000 0.0000 0.0000  4 Y 2.73

What is the formula in the first record? Cs2Y2Bi2Se

Copy entry 2 word for word.
A plane-wave DFT calculation with PBE was carried out for an optimized crystal structure of PrY2Sn2.

Output
formation enthalpy at 0 K: -45.1 kJ per mole of atoms
calculated density: 5.992 Mg/m³
energy: -5.610 eV per atom

Cell lengths 4.1100, 5.7024, 13.2498 Å; angles 96.95, 90.00, 90.00 degrees
Last column: nearest neighbours and their distance in Å.
Fractional coordinates of all 10 atoms:
Pr 0.2500 0.6983 0.2469  4 Sn 3.34-3.68, 2 Y 3.59
Pr 0.7500 0.3017 0.7531  4 Sn 3.34-3.68, 2 Y 3.59
Y 0.2500 0.8316 0.8911  5 Sn 2.89-3.14
Y 0.7500 0.1684 0.1089  5 Sn 2.89-3.14
Y 0.2500 0.2551 0.5292  4 Sn 3.22-3.35, 2 Y 3.57, 2 Pr 3.59
Y 0.7500 0.7449 0.4708  4 Sn 3.22-3.35, 2 Y 3.57, 2 Pr 3.59
Sn 0.2500 0.7866 0.6594  5 Y 3.05-3.35
Sn 0.7500 0.2134 0.3406  5 Y 3.05-3.35
Sn 0.2500 0.3359 0.9534  4 Y 2.89-3.14, 2 Sn 2.95
Sn 0.7500 0.6641 0.0466  4 Y 2.89-3.14, 2 Sn 2.95